(1)
VASP calculation (PBE-GGA) on a relaxed structure of Na2ZnTe2.

Calculated values
Space group: No. 139
Formation energy from raw total energies, eV per atom: -0.63

Cell and atoms, written as POSCAR:
```
Na2ZnTe2
1.0
5.9301 0.0000 0.0000
0.0000 5.9301 0.0000
2.9651 2.9651 7.1336
Zn Na Te
1 2 2
direct
0.0000 0.0000 0.0000 Zn
0.2500 0.7500 0.5000 Na
0.7500 0.2500 0.5000 Na
0.8279 0.8279 0.3443 Te
0.1721 0.1721 0.6557 Te
```


(2)
VASP calculation (PBE-GGA) on a relaxed structure of CsSrZr2.

Calculated values
Calculated formation energy, eV per atom: 1.40
Space group: No. 225

Cell and atoms, written as POSCAR:
```
CsSrZr2
1.0
0.0000 4.0724 4.0724
4.0724 0.0000 4.0724
4.0724 4.0724 0.0000
Zr Cs Sr
2 1 1
direct
0.7500 0.7500 0.7500 Zr
0.2500 0.2500 0.2500 Zr
0.5000 0.5000 0.5000 Cs
0.0000 0.0000 0.0000 Sr
```


(3)
VASP calculation (PBE-GGA) on a relaxed structure of NpPaRu4.

Calculated values
Calculated formation energy, eV per atom: -0.07
E above lowest polymorph, meV per atom: 110
Space group: No. 12

Cell and atoms, written as POSCAR:
```
NpPaRu4
1.0
-2.2707 1.6283 2.0090
-3.7248 1.4475 -2.4356
-3.3654 -5.7193 3.7792
Ru Np Pa
4 1 1
direct
0.8686 0.4159 0.8470 Ru
0.7097 0.9355 0.6450 Ru
0.1314 0.5841 0.1530 Ru
0.2903 0.0645 0.3550 Ru
0.0000 0.0000 0.0000 Np
0.5000 0.5000 0.5000 Pa
```


(4)
VASP calculation (PBE-GGA) on a relaxed structure of EuSn2Au.

Calculated values
Calculated formation energy, eV per atom: -0.49
Space group: No. 123

Cell and atoms, written as POSCAR:
```
EuSn2Au
1.0
-4.3056 -0.1371 1.6965
-1.3648 -2.4782 -3.6639
1.0166 -3.9074 2.2642
Sn Au Eu
2 1 1
direct
0.0000 0.5000 0.0000 Sn
0.0000 0.0000 0.5000 Sn
0.5000 0.0000 0.0000 Au
0.5000 0.5000 0.5000 Eu
```